# BaHgTe3 | Alexandria via LeMat-Bulk | PBE | relaxed
data_BaHgTe3
_cell_length_a 6.791
_cell_length_b 6.791
_cell_length_c 6.791
_cell_angle_alpha 90.00
_cell_angle_beta 90.00
_cell_angle_gamma 90.00
_space_group_name_H-M_alt 'P m -3 m'
_space_group_IT_number 221
_space_group_name_Hall '-P 4 2 3'
loop_
_atom_site_label
_atom_site_type_symbol
_atom_site_fract_x
_atom_site_fract_y
_atom_site_fract_z
_atom_site_occupancy
Ba1 Ba 0.000 0.000 0.000 1
Hg1 Hg 0.500 0.500 0.500 1
Te1 Te 0.000 0.000 0.500 1
# - energy relative to the elements, uncorrected (eV per atom) = 0.166
# - calculated density (g cm⁻³) = 3.82
# - total magnetization (μB per formula unit) = 4.00
# - DFT total energy (eV per atom) = -2.164



# Na2IO4 | Alexandria via LeMat-Bulk | PBE | relaxed
data_Na2IO4
_cell_length_a 11.175
_cell_length_b 3.222
_cell_length_c 6.282
_cell_angle_alpha 90.00
_cell_angle_beta 121.07
_cell_angle_gamma 90.00
_space_group_name_H-M_alt 'C 1 2/m 1'
_space_group_IT_number 12
loop_
_space_group_symop_operation_xyz
'x,y,z'
'-x,-y,-z'
'-x,y,-z'
'x,-y,z'
'x+1/2,y+1/2,z'
'-x+1/2,-y+1/2,-z'
'-x+1/2,y+1/2,-z'
'x+1/2,-y+1/2,z'
loop_
_atom_site_label
_atom_site_type_symbol
_atom_site_fract_x
_atom_site_fract_y
_atom_site_fract_z
_atom_site_occupancy
Na1 Na 0.144 0.000 0.165 1
I1 I 0.000 0.500 0.500 1
O1 O 0.021 0.500 0.823 1
O2 O 0.144 0.000 0.602 1
# - energy relative to the elements, uncorrected (eV per atom) = -0.845
# - calculated density (g cm⁻³) = 4.06
# - total magnetization (μB per formula unit) = 0.00
# - DFT total energy (eV per atom) = -4.276



# TlSb4 | Alexandria via LeMat-Bulk | PBE | relaxed
data_TlSb4
_cell_length_a 6.973
_cell_length_b 6.973
_cell_length_c 6.973
_cell_angle_alpha 90.00
_cell_angle_beta 90.00
_cell_angle_gamma 90.00
_space_group_name_H-M_alt 'I m -3 m'
_space_group_IT_number 229
_space_group_name_Hall '-I 4 2 3'
loop_
_atom_site_label
_atom_site_type_symbol
_atom_site_fract_x
_atom_site_fract_y
_atom_site_fract_z
_atom_site_occupancy
Tl1 Tl 0.000 0.000 0.000 1
Sb1 Sb 0.250 0.250 0.250 1
# - energy relative to the elements, uncorrected (eV per atom) = 0.477
# - calculated density (g cm⁻³) = 6.77
# - total magnetization (μB per formula unit) = 0.00
# - DFT total energy (eV per atom) = -3.294



Repeat the first record exactly.
# BaHgTe3 | Alexandria via LeMat-Bulk | PBE | relaxed
data_BaHgTe3
_cell_length_a 6.791
_cell_length_b 6.791
_cell_length_c 6.791
_cell_angle_alpha 90.00
_cell_angle_beta 90.00
_cell_angle_gamma 90.00
_space_group_name_H-M_alt 'P m -3 m'
_space_group_IT_number 221
_space_group_name_Hall '-P 4 2 3'
loop_
_atom_site_label
_atom_site_type_symbol
_atom_site_fract_x
_atom_site_fract_y
_atom_site_fract_z
_atom_site_occupancy
Ba1 Ba 0.000 0.000 0.000 1
Hg1 Hg 0.500 0.500 0.500 1
Te1 Te 0.000 0.000 0.500 1
# - energy relative to the elements, uncorrected (eV per atom) = 0.166
# - calculated density (g cm⁻³) = 3.82
# - total magnetization (μB per formula unit) = 4.00
# - DFT total energy (eV per atom) = -2.164



> Number 3 is which compound?

TlSb4



Repeat the first record exactly.
# BaHgTe3 | Alexandria via LeMat-Bulk | PBE | relaxed
data_BaHgTe3
_cell_length_a 6.791
_cell_length_b 6.791
_cell_length_c 6.791
_cell_angle_alpha 90.00
_cell_angle_beta 90.00
_cell_angle_gamma 90.00
_space_group_name_H-M_alt 'P m -3 m'
_space_group_IT_number 221
_space_group_name_Hall '-P 4 2 3'
loop_
_atom_site_label
_atom_site_type_symbol
_atom_site_fract_x
_atom_site_fract_y
_atom_site_fract_z
_atom_site_occupancy
Ba1 Ba 0.000 0.000 0.000 1
Hg1 Hg 0.500 0.500 0.500 1
Te1 Te 0.000 0.000 0.500 1
# - energy relative to the elements, uncorrected (eV per atom) = 0.166
# - calculated density (g cm⁻³) = 3.82
# - total magnetization (μB per formula unit) = 4.00
# - DFT total energy (eV per atom) = -2.164



> The highest DFT total energy belongs to which entry?

BaHgTe3